(1)
Computed, not measured: a geometry-optimized NdSi2PtRh2 structure at the PBE-GGA level of DFT.

As for the crystal system: tetragonal. The uncorrected formation energy is -0.38 eV/atom. The space group is P4/mmm, No. 123.

Cell: 4.527 4.527 5.644 Å, 90.00 90.00 90.00°
Atoms (fractional coordinates):
Rh1 0.500 0.500 0.248
Rh2 0.500 0.500 0.752
Pt1 0.000 0.000 0.000
Si1 0.500 0.000 0.000
Si2 0.000 0.500 0.000
Nd1 0.000 0.000 0.500

(2)
Computed, not measured: a geometry-optimized BaInCo2 structure at the PBE-GGA level of DFT.

As for the crystal system: tetragonal. The space group is P4mm, No. 99.

Cell: 3.267 3.267 7.927 Å, 90.00 90.00 90.00°
Atoms (fractional coordinates):
Ba1 0.500 0.500 0.784
In1 0.000 0.000 0.425
Co1 0.500 0.500 0.201
Co2 0.000 0.000 0.091

| no. | total energy (eV for the cell shown) |
| --- | --- |
| 1 | -38.67 |
| 2 | -17.69 |